Entry 1:
This record from Alexandria describes crystalline LaPr2DySc at its relaxed geometry. The functional is PBE-GGA.

abc: 6.7563 7.7861 6.3554
angles: 90.00 90.00 90.00
With the nearest neighbours (Å) after each atom.
Sites, in units of the cell vectors:
La 0.3016 0.5000 0.7500  8 Pr 3.61-3.88, 2 Dy 3.95
La 0.6984 0.5000 0.2500  8 Pr 3.61-3.88, 2 Dy 3.95
Pr 0.7790 0.7079 0.7500  2 Sc 3.15, 1 Pr 3.24, 1 Dy 3.40
Pr 0.7790 0.2921 0.7500  2 Sc 3.15, 1 Pr 3.24, 1 Dy 3.40
Pr 0.2210 0.7079 0.2500  2 Sc 3.15, 1 Pr 3.24, 1 Dy 3.40
Pr 0.2210 0.2921 0.2500  2 Sc 3.15, 1 Pr 3.24, 1 Dy 3.40
Dy 0.5959 0.0000 0.2500  2 Sc 3.16, 2 Pr 3.40, 2 Dy 3.43
Dy 0.4041 0.0000 0.7500  2 Sc 3.16, 2 Pr 3.40, 2 Dy 3.43
Sc 0.0000 0.0000 0.0000  4 Pr 3.15, 2 Dy 3.16, 2 Sc 3.18
Sc 0.0000 0.0000 0.5000  4 Pr 3.15, 2 Dy 3.16, 2 Sc 3.18

As for the space group: Pmma (51). The energy of formation comes out at 0.9 eV/f.u.

Entry 2:
This record from Alexandria describes crystalline LaPr2Dy4Sc at its relaxed geometry. The functional is PBE-GGA.

abc: 5.8789 5.8785 9.5560
angles: 52.04 90.00 90.00
With the nearest neighbours (Å) after each atom.
Sites, in units of the cell vectors:
La 0.5000 0.5000 0.0000  8 Dy 3.54, 2 Pr 3.77
Pr 0.0000 0.0000 0.0000  8 Dy 3.54-3.55, 2 Sc 3.77
Pr 0.5000 0.0000 0.5000  8 Dy 3.44, 2 La 3.77
Dy 0.0000 0.7624 0.7371  2 Sc 3.44, 4 Pr 3.44-3.55, 2 La 3.54, 1 Dy 3.57
Dy 0.0000 0.2376 0.2629  2 Sc 3.44, 4 Pr 3.44-3.55, 2 La 3.54, 1 Dy 3.57
Dy 0.5000 0.7372 0.2628  4 Pr 3.44-3.54, 2 Sc 3.44, 2 La 3.54, 1 Dy 3.57
Dy 0.5000 0.2628 0.7372  4 Pr 3.44-3.54, 2 Sc 3.44, 2 La 3.54, 1 Dy 3.57
Sc 0.0000 0.5000 0.5000  8 Dy 3.44, 2 Pr 3.77

As for the space group: P4/mmm (123). The energy of formation comes out at 1.0 eV/f.u.

Entry 3:
This record from Alexandria describes crystalline La4PrDy2Sc at its relaxed geometry. The functional is PBE-GGA.

abc: 6.0492 9.6833 6.0510
angles: 51.34 90.00 90.00
With the nearest neighbours (Å) after each atom.
Sites, in units of the cell vectors:
La 0.0000 0.7468 0.7546  2 Sc 3.55-3.56, 2 Pr 3.55, 4 Dy 3.57-3.59, 2 La 3.73-3.83
La 0.0000 0.2532 0.2454  2 Sc 3.55-3.56, 2 Pr 3.55, 4 Dy 3.57-3.59, 2 La 3.73-3.83
La 0.5000 0.7436 0.2561  2 Pr 3.54, 2 Sc 3.54, 4 Dy 3.59, 2 La 3.68-3.88
La 0.5000 0.2564 0.7439  2 Pr 3.54, 2 Sc 3.54, 4 Dy 3.59, 2 La 3.68-3.88
Pr 0.5000 0.5000 0.0000  8 La 3.54-3.55, 2 Dy 3.78
Dy 0.0000 0.0000 0.0000  8 La 3.57-3.59, 2 Sc 3.78
Dy 0.5000 0.0000 0.5000  8 La 3.58-3.59, 2 Pr 3.78
Sc 0.0000 0.5000 0.5000  8 La 3.54-3.56, 2 Dy 3.78

As for the space group: P2/m (10). The energy of formation comes out at -0.2 eV/f.u.

Entry 4:
This record from Alexandria describes crystalline La2PrDy4Sc at its relaxed geometry. The functional is PBE-GGA.

abc: 9.4771 9.4771 6.8114
angles: 111.05 111.05 88.32
With the nearest neighbours (Å) after each atom.
Sites, in units of the cell vectors:
La 0.5000 0.0000 0.0000  6 Dy 3.28-3.39, 2 La 3.41
La 0.5000 0.0000 0.5000  6 Dy 3.28-3.39, 2 La 3.41
La 0.0000 0.0000 0.5000  2 Sc 3.41, 6 Dy 3.43-3.46
La 0.5000 0.5000 0.0000  2 Sc 3.41, 6 Dy 3.43-3.46
Pr 0.0000 0.5000 0.0000  6 Dy 3.33-3.42, 2 Pr 3.41
Pr 0.0000 0.5000 0.5000  6 Dy 3.33-3.42, 2 Pr 3.41
Dy 0.2392 0.7636 0.0012  1 Sc 3.14, 3 La 3.39-3.46, 2 Pr 3.42, 2 Dy 3.42
Dy 0.7364 0.2608 0.4988  1 Sc 3.14, 3 La 3.39-3.46, 2 Pr 3.42, 2 Dy 3.42
Dy 0.2636 0.7392 0.5012  1 Sc 3.14, 3 La 3.39-3.46, 2 Pr 3.42, 2 Dy 3.42
Dy 0.7608 0.2364 0.9988  1 Sc 3.14, 3 La 3.39-3.46, 2 Pr 3.42, 2 Dy 3.42
Dy 0.7486 0.7524 0.9903  2 Dy 3.27-3.55, 3 La 3.28-3.44, 1 Pr 3.33, 2 Sc 3.36-3.37
Dy 0.7476 0.7514 0.5097  2 Dy 3.27-3.55, 3 La 3.28-3.44, 1 Pr 3.33, 2 Sc 3.36-3.37
Dy 0.2524 0.2486 0.4903  2 Dy 3.27-3.55, 3 La 3.28-3.44, 1 Pr 3.33, 2 Sc 3.36-3.37
Dy 0.2514 0.2476 0.0097  2 Dy 3.27-3.55, 3 La 3.28-3.44, 1 Pr 3.33, 2 Sc 3.36-3.37
Sc 0.5000 0.5000 0.5000  6 Dy 3.14-3.37, 2 La 3.41
Sc 0.0000 0.0000 0.0000  6 Dy 3.14-3.37, 2 La 3.41

As for the space group: C2/c (15). The energy of formation comes out at 3.2 eV/f.u.

Entry 5:
This record from Alexandria describes crystalline La3Pr4DySe8 at its relaxed geometry. The functional is PBE-GGA.

abc: 8.5314 8.5179 8.5314
angles: 120.05 120.00 90.00
With the nearest neighbours (Å) after each atom.
Sites, in units of the cell vectors:
La 0.5000 0.5000 0.0000  6 Se 3.02
La 0.5000 0.5000 0.5000  6 Se 3.02
La 0.0000 0.5000 0.5000  6 Se 3.02
Pr 0.5000 0.0000 0.0000  6 Se 3.09
Pr 0.5000 0.0000 0.5000  6 Se 3.01
Pr 0.0000 0.0000 0.0000  6 Se 3.01
Pr 0.0000 0.0000 0.5000  6 Se 3.01
Dy 0.0000 0.5000 0.0000  6 Se 2.94
Se 0.2436 0.7445 0.0010  1 Dy 2.94, 3 Pr 3.01-3.09, 2 La 3.02
Se 0.2435 0.7444 0.4870  1 Dy 2.94, 3 Pr 3.01-3.09, 2 La 3.02
Se 0.2495 0.2484 0.4989  3 Pr 3.01, 3 La 3.02
Se 0.7574 0.7445 0.0010  1 Dy 2.94, 3 Pr 3.01-3.09, 2 La 3.02
Se 0.2426 0.2555 0.9990  1 Dy 2.94, 3 Pr 3.01-3.09, 2 La 3.02
Se 0.7505 0.7516 0.5011  3 Pr 3.01, 3 La 3.02
Se 0.7565 0.2556 0.5130  1 Dy 2.94, 3 Pr 3.01-3.09, 2 La 3.02
Se 0.7564 0.2555 0.9990  1 Dy 2.94, 3 Pr 3.01-3.09, 2 La 3.02

As for the space group: R-3m (166). Its formation energy without anion corrections is -1.89 eV per atom.

Entry 6:
This record from Alexandria describes crystalline LaPr2Dy3Se6 at its relaxed geometry. The functional is PBE-GGA.

abc: 4.1269 8.4733 9.3971
angles: 104.70 102.68 90.00
With the nearest neighbours (Å) after each atom.
Sites, in units of the cell vectors:
La 0.5000 0.0000 0.0000  6 Se 3.03-3.04
Pr 0.8320 0.6645 0.6641  6 Se 3.01-3.04
Pr 0.1680 0.3355 0.3359  6 Se 3.01-3.04
Dy 0.5000 0.5000 0.0000  6 Se 2.88
Dy 0.8330 0.1667 0.6661  6 Se 2.87-2.90
Dy 0.1670 0.8333 0.3339  6 Se 2.87-2.90
Se 0.3291 0.9259 0.6581  3 Dy 2.87-2.89, 1 La 3.03, 2 Pr 3.04
Se 0.6624 0.5938 0.3248  3 Dy 2.88, 3 Pr 3.01-3.03
Se 0.6709 0.0741 0.3419  3 Dy 2.87-2.89, 1 La 3.03, 2 Pr 3.04
Se 0.9966 0.2612 0.9933  3 Dy 2.88-2.90, 2 La 3.04, 1 Pr 3.04
Se 0.0034 0.7388 0.0067  3 Dy 2.88-2.90, 2 La 3.04, 1 Pr 3.04
Se 0.3376 0.4062 0.6752  3 Dy 2.88, 3 Pr 3.01-3.03

As for the space group: C2/m (12). Its formation energy without anion corrections is -1.83 eV per atom.

Entry 7:
This record from Alexandria describes crystalline LaPrDySe3 at its relaxed geometry. The functional is PBE-GGA.

abc: 4.1481 8.0807 10.6171
angles: 102.04 90.00 90.00
With the nearest neighbours (Å) after each atom.
Sites, in units of the cell vectors:
La 0.2500 0.1774 0.2024  7 Se 3.05-3.21
La 0.7500 0.8226 0.7976  7 Se 3.05-3.21
Pr 0.2500 0.1850 0.6216  5 Se 2.97-3.16
Pr 0.7500 0.8150 0.3784  5 Se 2.97-3.16
Dy 0.2500 0.6619 0.0941  5 Se 2.83-2.88
Dy 0.7500 0.3381 0.9059  5 Se 2.83-2.88
Se 0.7500 0.9028 0.1070  2 Dy 2.83, 2 La 3.05, 1 Pr 3.11
Se 0.2500 0.0972 0.8930  2 Dy 2.83, 2 La 3.05, 1 Pr 3.11
Se 0.2500 0.8024 0.5767  3 Pr 2.97-3.03, 2 La 3.11
Se 0.7500 0.1976 0.4233  3 Pr 2.97-3.03, 2 La 3.11
Se 0.7500 0.4640 0.1809  3 Dy 2.88, 2 La 3.15, 1 Pr 3.16
Se 0.2500 0.5360 0.8191  3 Dy 2.88, 2 La 3.15, 1 Pr 3.16

As for the space group: P2_1/m (11). Its formation energy without anion corrections is -1.69 eV per atom.

Entry 8:
This record from Alexandria describes crystalline LaPr2DySe4 at its relaxed geometry. The functional is PBE-GGA.

abc: 4.1806 7.3633 7.3612
angles: 108.84 90.00 90.00
With the nearest neighbours (Å) after each atom.
Sites, in units of the cell vectors:
La 0.0000 0.0000 0.0000  6 Se 3.00
Pr 0.5000 0.0000 0.5000  6 Se 3.07
Pr 0.0000 0.5000 0.5000  6 Se 2.99
Dy 0.5000 0.5000 0.0000  6 Se 2.92
Se 0.5000 0.2573 0.2449  1 Dy 2.92, 3 Pr 2.99-3.07, 2 La 3.00
Se 0.5000 0.7427 0.7551  1 Dy 2.92, 3 Pr 2.99-3.07, 2 La 3.00
Se 0.0000 0.2627 0.7618  2 Dy 2.92, 3 Pr 2.99-3.07, 1 La 3.00
Se 0.0000 0.7373 0.2382  2 Dy 2.92, 3 Pr 2.99-3.07, 1 La 3.00

As for the space group: P2/m (10). Its formation energy without anion corrections is -1.86 eV per atom.

Entry 9:
This record from Alexandria describes crystalline LaPrDy2Se4 at its relaxed geometry. The functional is PBE-GGA.

abc: 4.1097 7.4185 7.1596
angles: 71.39 90.00 90.00
With the nearest neighbours (Å) after each atom.
Sites, in units of the cell vectors:
La 0.5000 0.5000 0.0000  6 Se 3.04
Pr 0.0000 0.5000 0.5000  6 Se 3.03-3.04
Dy 0.0000 0.0000 0.0000  6 Se 2.88-2.89
Dy 0.5000 0.0000 0.5000  6 Se 2.88
Se 0.0000 0.7690 0.7427  3 Dy 2.88-2.89, 1 Pr 3.04, 2 La 3.04
Se 0.0000 0.2310 0.2573  3 Dy 2.88-2.89, 1 Pr 3.04, 2 La 3.04
Se 0.5000 0.7682 0.2444  3 Dy 2.88, 2 Pr 3.03, 1 La 3.04
Se 0.5000 0.2318 0.7556  3 Dy 2.88, 2 Pr 3.03, 1 La 3.04

As for the space group: P2/m (10). Its formation energy without anion corrections is -1.84 eV per atom.

Entry 10:
This record from Alexandria describes crystalline LaPr2DySe5 at its relaxed geometry. The functional is PBE-GGA.

abc: 5.1468 5.1468 11.0444
angles: 90.00 90.00 90.00
With the nearest neighbours (Å) after each atom.
Sites, in units of the cell vectors:
La 0.0000 0.0000 0.0000  2 Se 2.77
Pr 0.5000 0.5000 0.3252  5 Se 3.22-3.59
Pr 0.5000 0.5000 0.6748  5 Se 3.22-3.59
Dy 0.0000 0.0000 0.5000  6 Se 2.57-2.75
Se 0.0000 0.5000 0.5000  2 Dy 2.57
Se 0.5000 0.0000 0.5000  2 Dy 2.57
Se 0.0000 0.0000 0.7490  1 Dy 2.75, 1 La 2.77
Se 0.0000 0.0000 0.2510  1 Dy 2.75, 1 La 2.77
Se 0.5000 0.5000 0.0000  2 Pr 3.59, 4 La 3.64

As for the space group: P4/mmm (123). Its formation energy without anion corrections is -1.37 eV per atom.

Entry 11:
This record from Alexandria describes crystalline LaPr6Sm2Dy at its relaxed geometry. The functional is PBE-GGA.

abc: 9.9497 9.0741 9.0741
angles: 118.15 94.46 94.46
With the nearest neighbours (Å) after each atom.
Sites, in units of the cell vectors:
La 0.2500 0.4051 0.5949  6 Pr 3.55-3.66, 2 Sm 3.68
La 0.7500 0.5949 0.4051  6 Pr 3.55-3.66, 2 Sm 3.68
Pr 0.0548 0.1139 0.7579  6 Pr 3.48-3.89, 1 Sm 3.49, 1 Dy 3.73
Pr 0.4452 0.2421 0.8861  6 Pr 3.48-3.89, 1 Sm 3.49, 1 Dy 3.73
Pr 0.9452 0.8861 0.2421  6 Pr 3.48-3.89, 1 Sm 3.49, 1 Dy 3.73
Pr 0.5548 0.7579 0.1139  6 Pr 3.48-3.89, 1 Sm 3.49, 1 Dy 3.73
Pr 0.3158 0.9795 0.4292  3 Pr 3.34-3.73, 1 Sm 3.54, 1 La 3.56, 1 Dy 3.64
Pr 0.1842 0.5708 0.0205  3 Pr 3.34-3.73, 1 Sm 3.54, 1 La 3.56, 1 Dy 3.64
Pr 0.6842 0.0205 0.5708  3 Pr 3.34-3.73, 1 Sm 3.54, 1 La 3.56, 1 Dy 3.64
Pr 0.8158 0.4292 0.9795  3 Pr 3.34-3.73, 1 Sm 3.54, 1 La 3.56, 1 Dy 3.64
Pr 0.1203 0.7053 0.4955  3 Pr 3.34-3.48, 3 Sm 3.37-3.55, 2 La 3.55-3.66
Pr 0.3797 0.5045 0.2947  3 Pr 3.34-3.48, 3 Sm 3.37-3.55, 2 La 3.55-3.66
Pr 0.8797 0.2947 0.5045  3 Pr 3.34-3.48, 3 Sm 3.37-3.55, 2 La 3.55-3.66
Pr 0.6203 0.4955 0.7053  3 Pr 3.34-3.48, 3 Sm 3.37-3.55, 2 La 3.55-3.66
Sm 0.4559 0.8087 0.7111  5 Pr 3.37-3.55, 2 Dy 3.42-3.46, 1 La 3.68
Sm 0.0441 0.2889 0.1913  5 Pr 3.37-3.55, 2 Dy 3.42-3.46, 1 La 3.68
Sm 0.5441 0.1913 0.2889  5 Pr 3.37-3.55, 2 Dy 3.42-3.46, 1 La 3.68
Sm 0.9559 0.7111 0.8087  5 Pr 3.37-3.55, 2 Dy 3.42-3.46, 1 La 3.68
Dy 0.2500 0.9736 0.0264  4 Sm 3.42-3.46, 4 Pr 3.64-3.73
Dy 0.7500 0.0264 0.9736  4 Sm 3.42-3.46, 4 Pr 3.64-3.73

As for the space group: C2/c (15). The energy of formation comes out at 1.1 eV/f.u.

Entry 12:
This record from Alexandria describes crystalline LaPr2SmDy2 at its relaxed geometry. The functional is PBE-GGA.

abc: 5.7758 10.0154 7.1239
angles: 90.00 90.00 90.00
With the nearest neighbours (Å) after each atom.
Sites, in units of the cell vectors:
La 0.0000 0.0000 0.0000  2 Sm 3.56, 6 Pr 3.77-3.79, 6 Dy 3.78-3.79
La 0.5000 0.5000 0.5000  2 Sm 3.56, 6 Pr 3.77-3.79, 6 Dy 3.78-3.79
Pr 0.5000 0.8329 0.2519  5 Dy 3.33-3.58
Pr 0.5000 0.1671 0.7481  5 Dy 3.33-3.58
Pr 0.0000 0.6671 0.7519  5 Dy 3.33-3.58
Pr 0.0000 0.3329 0.2481  5 Dy 3.33-3.58
Sm 0.5000 0.5000 0.0000  2 La 3.56, 6 Pr 3.78-3.79, 6 Dy 3.78-3.79
Sm 0.0000 0.0000 0.5000  2 La 3.56, 6 Pr 3.78-3.79, 6 Dy 3.78-3.79
Dy 0.5000 0.1665 0.2500  5 Pr 3.33-3.58
Dy 0.0000 0.6665 0.2500  5 Pr 3.33-3.58
Dy 0.5000 0.8335 0.7500  5 Pr 3.33-3.58
Dy 0.0000 0.3335 0.7500  5 Pr 3.33-3.58

As for the space group: Pnnm (58). The energy of formation comes out at 0.4 eV/f.u.

no.,density of states at the Fermi level (states/eV per atom),VASP energy (eV per atom),mass density (g/cm³)
1,1.0719,-4.911,6.2
2,2.1720,-4.774,7.1
3,1.7592,-5.030,6.4
4,2.4003,-4.526,7.0
5,0.6267,-6.036,6.7
6,0.4435,-5.930,7.4
7,0.5275,-5.821,6.5
8,0.6209,-5.984,7.0
9,0.5331,-5.949,7.4
10,0.8199,-5.429,5.6
11,1.5412,-4.654,6.7
12,1.5410,-4.675,7.2